{
  "formula": "TaTlFeO4",
  "functional": "PBE with a Hubbard U",
  "state": "relaxed",
  "lattice_angstrom": [[5.681, 0.000, 0.726], [0.000, 6.020, 0.000], [-1.384, 0.000, 8.385]],
  "species": ["Ta", "Ta", "Tl", "Tl", "Fe", "Fe", "O", "O", "O", "O", "O", "O", "O", "O"],
  "fractional_positions": [[0.305, 0.750, 0.283], [0.695, 0.250, 0.717], [0.774, 0.750, 0.984], [0.226, 0.250, 0.016], [0.883, 0.750, 0.465], [0.117, 0.250, 0.535], [0.836, 0.489, 0.617], [0.164, 0.989, 0.383], [0.164, 0.511, 0.383], [0.836, 0.011, 0.617], [0.213, 0.750, 0.071], [0.787, 0.250, 0.929], [0.634, 0.750, 0.298], [0.366, 0.250, 0.702]],
  "rho_g_cm3": 5.7,
  "total_energy_ev_per_cell": -106.244,
  "n_ef_per_ev_atom": 0.00
}